First-principles (PBE) data for a relaxed structure of Mn2FeMo, as listed in the Alexandria database.

Properties
Calculated volume, A^3/atom: 12.345
Calculated formation energy, meV per atom: 262
Energy, eV/atom: -9.1465

abc: 2.5859 2.5859 25.5811
angles: 90.00 90.00 120.00
With the nearest neighbours (Å) after each atom.
Space group R3m (No. 160, hexagonal axes)
Symmetry-distinct sites (fractional):
Mn  0.0000  0.0000  0.0000 x3  9 Mn 2.42-2.59, 3 Fe 2.52
Mn  0.0000  0.0000  0.2591 x3  9 Mn 2.42-2.59
Fe  0.0000  0.0000  0.7460 x3  3 Mn 2.52, 6 Fe 2.59, 3 Mo 2.74
Mo  0.0000  0.0000  0.5026 x3  6 Mo 2.59, 3 Mn 2.74, 3 Fe 2.74



First-principles (PBE) data for a relaxed structure of MnFe2Mo, as listed in the Alexandria database.

Properties
Calculated volume, A^3/atom: 12.670
Offset from the most stable computed form, meV per atom: 72
Calculated formation energy, meV per atom: 130
Energy, eV/atom: -9.1012

abc: 2.9881 4.1603 8.1537
angles: 90.00 90.00 90.00
With the nearest neighbours (Å) after each atom.
Space group Cmm2 (No. 35)
Symmetry-distinct sites (fractional):
Mn  0.0000  0.0000  0.0000 x2  2 Fe 2.45, 4 Mn 2.56, 2 Mo 2.58
Fe  0.0000  0.0000  0.5227 x2  6 Fe 2.45-2.56, 2 Mo 2.62
Fe  0.0000  0.5000  0.7615 x2  2 Mn 2.45, 6 Fe 2.45-2.56
Mo  0.0000  0.5000  0.2587 x2  4 Mo 2.56, 2 Mn 2.58, 2 Fe 2.62



First-principles (PBE) data for a relaxed structure of MnFeMo, as listed in the Alexandria database.

Properties
Calculated volume, A^3/atom: 12.986
Offset from the most stable computed form, meV per atom: 126
Calculated formation energy, meV per atom: 93
Energy, eV/atom: -9.3950

abc: 4.1702 4.1702 2.5867
angles: 90.00 90.00 120.00
With the nearest neighbours (Å) after each atom.
Space group P3m1 (No. 156)
Symmetry-distinct sites (fractional):
Mn  0.0000  0.0000  0.0000 x1  3 Mo 2.55, 3 Fe 2.56, 2 Mn 2.59
Fe  0.6667  0.3333  0.6583 x1  3 Mo 2.56, 3 Mn 2.56, 2 Fe 2.59
Mo  0.3333  0.6667  0.3254 x1  3 Mn 2.55, 3 Fe 2.56, 2 Mo 2.59



First-principles (PBE) data for a relaxed structure of Mn2FeMo, as listed in the Alexandria database.

Properties
Calculated volume, A^3/atom: 12.280
Calculated formation energy, meV per atom: 303
Energy, eV/atom: -9.1054

abc: 2.5786 2.5786 25.5909
angles: 90.00 90.00 120.00
With the nearest neighbours (Å) after each atom.
Space group R-3m (No. 166, hexagonal axes)
Symmetry-distinct sites (fractional):
Mn  0.0000  0.0000  0.2430 x6  3 Fe 2.46, 6 Mn 2.58, 3 Mo 2.75
Fe  0.0000  0.0000  0.5000 x3  6 Mn 2.46, 6 Fe 2.58
Mo  0.0000  0.0000  0.0000 x3  6 Mo 2.58, 6 Mn 2.75



First-principles (PBE) data for a relaxed structure of MnFe2Mo, as listed in the Alexandria database.

Properties
Calculated volume, A^3/atom: 12.512
Offset from the most stable computed form, meV per atom: 28
Calculated formation energy, meV per atom: 86
Energy, eV/atom: -9.1457

abc: 3.0417 4.0034 4.1100
angles: 90.00 90.00 90.00
With the nearest neighbours (Å) after each atom.
Space group Pmmm (No. 47)
Symmetry-distinct sites (fractional):
Mn  0.0000  0.0000  0.0000 x1  4 Mo 2.51, 4 Fe 2.56
Fe  0.0000  0.5000  0.5000 x1  4 Fe 2.51, 4 Mo 2.56
Fe  0.5000  0.0000  0.5000 x1  4 Fe 2.51, 4 Mn 2.56
Mo  0.5000  0.5000  0.0000 x1  4 Mn 2.51, 4 Fe 2.56



First-principles (PBE) data for a relaxed structure of Mn2FeMo, as listed in the Alexandria database.

Properties
Calculated volume, A^3/atom: 12.479
Calculated formation energy, meV per atom: 136
Energy, eV/atom: -9.2721

abc: 3.5876 3.6682 7.5861
angles: 90.00 90.00 90.00
With the nearest neighbours (Å) after each atom.
Space group Cmmm (No. 65)
Symmetry-distinct sites (fractional):
Mn  0.0000  0.0000  0.2231 x4  4 Fe 2.47-2.50, 4 Mn 2.57
Fe  0.0000  0.5000  0.0000 x2  8 Mn 2.47-2.50, 4 Fe 2.57
Mo  0.0000  0.5000  0.5000 x2  4 Mo 2.57, 8 Mn 2.76-2.79



Question: What is the calculated formation energy in the third record?
Answer: 93 meV per atom



Question: Which of these has the lowest calculated formation energy?
Answer: number 5



Question: Number 1 is which compound?
Answer: Mn2FeMo



Question: calculated volume of number 2 (MnFe2Mo)?
Answer: 12.670 A^3/atom